Record 1
The following is a DFT calculation (PBE-GGA) of K2CuBr3Cl after structural relaxation.

Output
- E_form (uncorrected) (kJ/mol of atoms) = -110.8
- E (eV per atom) = -3.0277
- V (Å³ per cell) = 420.1

Lattice parameters (Å, degrees): 4.9677 5.1416 16.4465 90.00 90.00 90.00
Closest atoms and distances in Å follow each position.
Space group Immm (No. 71)
One atom of each set of equivalent atoms:
K: 0.0000 0.0000 0.1371 x4  7 Br 3.35-3.59, 2 Cl 3.42
Cu: 0.0000 0.0000 0.5000 x2  2 Cl 2.48, 4 Br 2.57-2.59
Br: 0.0000 0.0000 0.3425 x4  1 Cu 2.59
Br: 0.0000 0.5000 0.5000 x2  2 Cu 2.57
Cl: 0.0000 0.5000 0.0000 x2  2 Cu 2.48

---

Record 2
The following is a DFT calculation (PBE-GGA) of KCuBrCl after structural relaxation.

Output
- E_form (uncorrected) (kJ/mol of atoms) = -95.6
- E (eV per atom) = -3.1693
- V (Å³ per cell) = 229.1

Lattice parameters (Å, degrees): 8.7576 6.1237 4.2716 90.00 90.51 90.00
Closest atoms and distances in Å follow each position.
Space group Cm (No. 8)
One atom of each set of equivalent atoms:
K: 0.0000 0.0000 0.0000 x2  3 Cl 3.09-3.32, 2 Br 3.25-3.26
Cu: 0.0535 0.5000 0.5050 x2  2 Cl 2.28-2.29, 1 Br 2.39
Br: 0.2806 0.0000 0.5062 x2  1 Cu 2.39
Cl: 0.1470 0.5000 0.0074 x2  2 Cu 2.28-2.29

---

Record 3
The following is a DFT calculation (PBE-GGA) of K2CuBrCl3 after structural relaxation.

Output
- E_form (uncorrected) (kJ/mol of atoms) = -120.7
- E (eV per atom) = -3.1804
- V (Å³ per cell) = 396.1

Lattice parameters (Å, degrees): 4.9955 5.1369 15.4355 90.00 90.00 90.00
Closest atoms and distances in Å follow each position.
Space group Immm (No. 71)
One atom of each set of equivalent atoms:
K: 0.0000 0.0000 0.1414 x4  3 Cl 3.14-3.37, 2 Br 3.32
Cu: 0.0000 0.0000 0.5000 x2  4 Cl 2.40-2.50, 2 Br 2.57
Br: 0.0000 0.5000 0.5000 x2  2 Cu 2.57
Cl: 0.0000 0.0000 0.3447 x4  1 Cu 2.40
Cl: 0.0000 0.5000 0.0000 x2  2 Cu 2.50

---

Record 4
The following is a DFT calculation (PBE-GGA) of KCuBr2Cl after structural relaxation.

Output
- E_form (uncorrected) (kJ/mol of atoms) = -88.5
- E (eV per atom) = -2.9945
- V (Å³ per cell) = 129.9

Lattice parameters (Å, degrees): 5.1948 5.1948 4.8132 90.00 90.00 90.00
Closest atoms and distances in Å follow each position.
Space group P4/mmm (No. 123)
One atom of each set of equivalent atoms:
K: 0.0000 0.0000 0.0000 x1  8 Br 3.54, 4 Cl 3.67
Cu: 0.5000 0.5000 0.5000 x1  2 Cl 2.41, 4 Br 2.60
Br: 0.0000 0.5000 0.5000 x2  2 Cu 2.60
Cl: 0.5000 0.5000 0.0000 x1  2 Cu 2.41